The following is a DFT calculation (PBE) of crystalline MgSbSe2N at its relaxed geometry.

## Properties
DFT total energy   -3.77 eV per atom
E above lowest polymorph   0 meV per atom
Formation energy (no corrections)   0.433 eV per atom

abc: 5.386 5.386 3.923
angles: 90.00 90.00 90.00
Site moments in Bohr magnetons follow the coordinates.
Atoms (fractional coordinates):
Mg  0.500  0.500  0.500  0.00
Sb  0.000  0.000  0.000  -0.01
Se  0.500  0.000  0.000  0.03
Se  0.000  0.500  0.000  0.03
N  0.000  0.000  0.500  0.13

The following is a DFT calculation (PBE) of crystalline ZnIrO3 at its relaxed geometry.

## Properties
DFT total energy   -5.72 eV per atom
Formation energy (no corrections)   -0.722 eV per atom

abc: 3.725 5.586 6.286
angles: 100.24 90.00 109.48
Atoms (fractional coordinates):
Zn  0.359  0.719  0.590
O  0.829  0.658  0.390
O  0.673  0.346  0.952
O  0.327  0.654  0.048
Ir  0.870  0.740  0.087
O  0.062  0.124  0.203
O  0.938  0.876  0.797
O  0.171  0.342  0.610
Zn  0.641  0.281  0.410
Ir  0.130  0.260  0.913

The following is a DFT calculation (PBE) of crystalline MgNbRuO6 at its relaxed geometry.

## Properties
DFT total energy   -7.54 eV per atom
Formation energy (no corrections)   -1.904 eV per atom

abc: 4.762 4.762 9.185
angles: 90.00 90.00 90.00
Site moments in Bohr magnetons follow the coordinates.
Atoms (fractional coordinates):
Ru  0.000  0.000  0.333  1.87
Nb  0.000  0.000  0.672  0.07
O  0.188  0.812  0.496  0.15
O  0.198  0.802  0.176  0.15
Mg  0.000  0.000  0.002  0.01
O  0.688  0.688  0.996  0.15
O  0.812  0.188  0.496  0.15
Mg  0.500  0.500  0.502  0.01
O  0.802  0.198  0.176  0.15
O  0.205  0.795  0.824  0.07
O  0.312  0.312  0.996  0.15
O  0.698  0.698  0.676  0.15
O  0.302  0.302  0.676  0.15
O  0.705  0.705  0.324  0.07
O  0.795  0.205  0.824  0.07
Nb  0.500  0.500  0.172  0.07
O  0.295  0.295  0.324  0.07
Ru  0.500  0.500  0.833  1.87

The following is a DFT calculation (PBE) of crystalline InAgP2 at its relaxed geometry.

## Properties
Formation energy from the elements   18 meV/atom
DFT total energy   -4.08 eV per atom

abc: 5.981 5.981 5.128
angles: 114.08 114.08 31.52
Atoms (fractional coordinates):
In  0.750  0.750  0.750
P  0.486  0.486  0.380
P  0.014  0.014  0.120
Ag  0.250  0.250  0.250